[1]
A plane-wave DFT calculation with PBE-GGA was carried out for a relaxed structure of MgCd2Si2Pd5.

abc: 9.913 9.913 3.384
angles: 90.00 90.00 90.00
Space group P4/mbm (No. 127)
Inequivalent atoms, fractional coordinates:
Mg  0.000  0.000  0.000 [2 per cell]
Cd  0.176  0.324  0.000 [4 per cell]
Si  0.129  0.629  0.000 [4 per cell]
Pd  0.000  0.500  0.500 [2 per cell]
Pd  0.063  0.789  0.500 [8 per cell]

As for the total energy: -89.65 eV for the cell shown. The crystal system is tetragonal. The value obtained for the density is 8.36 g cm⁻³. As for the formation energy without anion corrections: -0.46 eV per atom. For the total moment, the calculation gives 0.000 μB/atom.


[2]
A plane-wave DFT calculation with PBE-GGA was carried out for a relaxed structure of Ti3InSi.

abc: 4.639 4.639 4.639
angles: 90.00 90.00 90.00
Space group Pm-3m (No. 221)
Inequivalent atoms, fractional coordinates:
Ti  0.000  0.000  0.500 [3 per cell]
In  0.500  0.500  0.500 [1 per cell]
Si  0.000  0.000  0.000 [1 per cell]

As for the total energy: -31.70 eV for the cell shown. The crystal system is cubic. The value obtained for the density is 4.77 g cm⁻³. As for the formation energy without anion corrections: 0.03 eV per atom. As for the energy above the lowest structure with this stoichiometry: 0.0 meV/atom. For the total moment, the calculation gives 0.000 μB/atom.


[3]
A plane-wave DFT calculation with PBE-GGA was carried out for a relaxed structure of Ba2SrCd.

abc: 4.3838 4.3838 37.5403
angles: 90.00 90.00 120.00
Space group R3m (No. 160, hexagonal axes)
Inequivalent atoms, fractional coordinates:
Ba  0.0000  0.0000  0.0000 [3 per cell]
Ba  0.0000  0.0000  0.1966 [3 per cell]
Sr  0.0000  0.0000  0.7646 [3 per cell]
Cd  0.0000  0.0000  0.5980 [3 per cell]

As for the total energy: -19.90 eV for the cell shown. The crystal system is trigonal. Its formation energy from the elements is -1.1 kcal/mol of atoms. The value obtained for the density is 3.78 g cm⁻³. For the total moment, the calculation gives 0.001 μB/atom.


[4]
A plane-wave DFT calculation with PBE-GGA was carried out for a relaxed structure of ThSb2Pd7.

abc: 7.533 13.075 4.580
angles: 90.00 90.00 90.00
Space group Cmmm (No. 65)
Inequivalent atoms, fractional coordinates:
Th  0.000  0.000  0.000 [2 per cell]
Sb  0.000  0.303  0.500 [4 per cell]
Pd  0.000  0.210  0.000 [4 per cell]
Pd  0.000  0.500  0.500 [2 per cell]
Pd  0.180  0.111  0.500 [8 per cell]

As for the total energy: -111.42 eV for the cell shown. The crystal system is orthorhombic. The value obtained for the density is 8.99 g cm⁻³. As for the formation energy without anion corrections: -0.37 eV per atom. As for the energy above the lowest structure with this stoichiometry: 229.6 meV/atom. For the total moment, the calculation gives 0.000 μB/atom.


[5]
A plane-wave DFT calculation with PBE-GGA was carried out for a relaxed structure of Rb3Ac3ErO8.

abc: 7.5484 7.5484 20.0501
angles: 90.00 90.00 120.00
Space group R-3m (No. 166, hexagonal axes)
Inequivalent atoms, fractional coordinates:
Rb  0.0000  0.5000  0.0000 [9 per cell]
Ac  0.0000  0.5000  0.5000 [9 per cell]
Er  0.0000  0.0000  0.5000 [3 per cell]
O  0.0000  0.0000  0.2287 [6 per cell]
O  0.0254  0.5127  0.2232 [18 per cell]

As for the total energy: -293.91 eV for the cell shown. The crystal system is trigonal. The value obtained for the density is 6.21 g cm⁻³. As for the formation energy without anion corrections: -2.57 eV per atom. For the total moment, the calculation gives 0.064 μB/atom.


[6]
A plane-wave DFT calculation with PBE-GGA was carried out for a relaxed structure of KCdBi2Pb.

abc: 5.142 5.142 14.055
angles: 90.00 90.00 90.00
Space group I-4m2 (No. 119)
Inequivalent atoms, fractional coordinates:
K  0.000  0.000  0.000 [2 per cell]
Cd  0.000  0.500  0.250 [2 per cell]
Bi  0.000  0.000  0.383 [4 per cell]
Pb  0.000  0.500  0.750 [2 per cell]

As for the total energy: -28.46 eV for the cell shown. The crystal system is tetragonal. Its formation energy from the elements is -3.4 kcal/mol of atoms. The value obtained for the density is 6.94 g cm⁻³. For the total moment, the calculation gives 0.000 μB/atom.


What did the sixth record say?
A plane-wave DFT calculation with PBE-GGA was carried out for a relaxed structure of KCdBi2Pb.

abc: 5.142 5.142 14.055
angles: 90.00 90.00 90.00
Space group I-4m2 (No. 119)
Inequivalent atoms, fractional coordinates:
K  0.000  0.000  0.000 [2 per cell]
Cd  0.000  0.500  0.250 [2 per cell]
Bi  0.000  0.000  0.383 [4 per cell]
Pb  0.000  0.500  0.750 [2 per cell]

As for the total energy: -28.46 eV for the cell shown. The crystal system is tetragonal. Its formation energy from the elements is -3.4 kcal/mol of atoms. The value obtained for the density is 6.94 g cm⁻³. For the total moment, the calculation gives 0.000 μB/atom.


Look up the total moment of the first one.
0.000 μB/atom


Copy entry 1 word for word.
A plane-wave DFT calculation with PBE-GGA was carried out for a relaxed structure of MgCd2Si2Pd5.

abc: 9.913 9.913 3.384
angles: 90.00 90.00 90.00
Space group P4/mbm (No. 127)
Inequivalent atoms, fractional coordinates:
Mg  0.000  0.000  0.000 [2 per cell]
Cd  0.176  0.324  0.000 [4 per cell]
Si  0.129  0.629  0.000 [4 per cell]
Pd  0.000  0.500  0.500 [2 per cell]
Pd  0.063  0.789  0.500 [8 per cell]

As for the total energy: -89.65 eV for the cell shown. The crystal system is tetragonal. The value obtained for the density is 8.36 g cm⁻³. As for the formation energy without anion corrections: -0.46 eV per atom. For the total moment, the calculation gives 0.000 μB/atom.